The following is a PBE with a Hubbard U calculation of a relaxed structure of CuMoIO6, from Alexandria via LeMat-Bulk.

abc: 5.343 5.343 9.150
angles: 90.00 90.00 120.00
Fractional coordinates of all 18 atoms:
Cu (0.000, 0.000, 0.000)
Cu (0.000, 0.000, 0.500)
Mo (0.333, 0.667, 0.250)
Mo (0.667, 0.333, 0.750)
I (0.333, 0.667, 0.750)
I (0.667, 0.333, 0.250)
O (0.016, 0.363, 0.132)
O (0.016, 0.653, 0.368)
O (0.347, 0.363, 0.368)
O (0.347, 0.984, 0.132)
O (0.363, 0.016, 0.632)
O (0.363, 0.347, 0.868)
O (0.637, 0.653, 0.132)
O (0.637, 0.984, 0.368)
O (0.653, 0.016, 0.868)
O (0.653, 0.637, 0.632)
O (0.984, 0.347, 0.632)
O (0.984, 0.637, 0.868)

Results
- Uncorrected energy: -0.3966 Ry/atom
- Space-group type: P-31c